# 1
DFT (PBE) results for an optimized crystal structure of Y2CuAg.

a b c (Å): 5.056 5.056 5.056
angles (deg): 60.00 60.00 60.00
Sites, in units of the cell vectors:
Y (0.250, 0.250, 0.250)
Y (0.750, 0.750, 0.750)
Cu (0.000, 0.000, 0.000)
Ag (0.500, 0.500, 0.500)

Computed properties:
space group: No. 225
E above lowest polymorph: 0.015 eV/atom
density of states at the Fermi level: 1.727 states/eV/f.u.
volume: 91.4 Å³ per cell

=====

# 2
DFT (PBE) results for an optimized crystal structure of YCuAg2.

a b c (Å): 4.108 3.597 5.805
angles (deg): 71.51 90.00 90.00
Sites, in units of the cell vectors:
Ag (0.000, 0.042, 0.040)
Ag (0.500, 0.442, 0.238)
Cu (0.000, 0.305, 0.519)
Y (0.500, 0.711, 0.703)

Computed properties:
space group: No. 6
E above lowest polymorph: 0.159 eV/atom
density of states at the Fermi level: 1.714 states/eV/f.u.
volume: 81.3 Å³ per cell

=====

# 3
DFT (PBE) results for an optimized crystal structure of Y5Cu4Ag.

a b c (Å): 3.492 3.492 17.825
angles (deg): 90.00 90.00 90.00
Sites, in units of the cell vectors:
Y (0.500, 0.500, 0.108)
Y (0.500, 0.500, 0.304)
Y (0.500, 0.500, 0.500)
Y (0.500, 0.500, 0.696)
Y (0.500, 0.500, 0.892)
Cu (0.000, 0.000, 0.205)
Cu (0.000, 0.000, 0.402)
Cu (0.000, 0.000, 0.598)
Cu (0.000, 0.000, 0.795)
Ag (0.000, 0.000, 0.000)

Computed properties:
total energy: -54.161 eV per cell
space group: No. 123
density of states at the Fermi level: 4.614 states/eV/f.u.
volume: 217.4 Å³ per cell

=====

Please write out number 3 again, unchanged.
DFT (PBE) results for an optimized crystal structure of Y5Cu4Ag.

a b c (Å): 3.492 3.492 17.825
angles (deg): 90.00 90.00 90.00
Sites, in units of the cell vectors:
Y (0.500, 0.500, 0.108)
Y (0.500, 0.500, 0.304)
Y (0.500, 0.500, 0.500)
Y (0.500, 0.500, 0.696)
Y (0.500, 0.500, 0.892)
Cu (0.000, 0.000, 0.205)
Cu (0.000, 0.000, 0.402)
Cu (0.000, 0.000, 0.598)
Cu (0.000, 0.000, 0.795)
Ag (0.000, 0.000, 0.000)

Computed properties:
total energy: -54.161 eV per cell
space group: No. 123
density of states at the Fermi level: 4.614 states/eV/f.u.
volume: 217.4 Å³ per cell

=====

Question: Which value of density of states at the Fermi level does entry 1 give?
Answer: 1.727 states/eV/f.u.

=====

Question: The lowest density of states at the Fermi level belongs to which entry?
Answer: YCuAg2